No. 1
Entry from Alexandria via LeMat-Bulk: a geometry-optimized TiV2CrSb structure (PBE-GGA).

It has space group P4/mmm (No. 123), with a = 4.3496 Å, b = 4.3496 Å, c = 4.5822 Å, α = 90.00°, β = 90.00° and γ = 90.00°. Symmetry generates all atoms from Ti at (0.0000, 0.0000, 0.0000), V at (0.0000, 0.5000, 0.5000), Cr at (0.0000, 0.0000, 0.5000) and Sb at (0.5000, 0.5000, 0.0000).

The value obtained for the uncorrected formation energy is 0.533 eV/atom.

***

No. 2
Entry from Alexandria via LeMat-Bulk: a geometry-optimized K2SiTe structure (PBE-GGA).

It has space group F-43m (No. 216), with a = 8.0240 Å, b = 8.0240 Å, c = 8.0240 Å, α = 90.00°, β = 90.00° and γ = 90.00°. Symmetry generates all atoms from K at (0.0000, 0.0000, 0.0000), K at (0.2500, 0.2500, 0.2500), Si at (0.2500, 0.2500, 0.7500) and Te at (0.0000, 0.0000, 0.5000).

The value obtained for the uncorrected formation energy is 0.082 eV/atom. For the energy above the lowest structure with this stoichiometry, the calculation gives 341 meV/atom.

***

No. 3
Entry from Alexandria via LeMat-Bulk: a geometry-optimized LaNiAu structure (PBE-GGA).

It has space group F-43m (No. 216), with a = 6.5268 Å, b = 6.5268 Å, c = 6.5268 Å, α = 90.00°, β = 90.00° and γ = 90.00°. Symmetry generates all atoms from La at (0.0000, 0.0000, 0.0000), Ni at (0.2500, 0.2500, 0.2500) and Au at (0.0000, 0.0000, 0.5000).

The value obtained for the calculated formation energy is -1.39 eV per formula unit.

***

No. 4
Entry from Alexandria via LeMat-Bulk: a geometry-optimized CaTe2 structure (PBE-GGA).

It has space group I4_1/amd (No. 141, origin choice 2), with a = 5.7696 Å, b = 5.7696 Å, c = 13.5411 Å, α = 90.00°, β = 90.00° and γ = 90.00°. Symmetry generates all atoms from Ca at (0.0000, 0.2500, 0.3750) and Te at (0.0000, 0.2500, 0.0310).

The value obtained for the uncorrected formation energy is -0.778 eV/atom.

***

No. 5
Entry from Alexandria via LeMat-Bulk: a geometry-optimized La8SmEr2 structure (PBE-GGA).

It has space group C2/m (No. 12), with a = 18.6923 Å, b = 5.2392 Å, c = 8.2437 Å, α = 90.00°, β = 105.46° and γ = 90.00°. Symmetry generates all atoms from La at (0.0471, 0.0000, 0.2264), La at (0.0926, 0.5000, 0.9548), La at (0.1382, 0.0000, 0.6874), La at (0.1824, 0.5000, 0.4126), Sm at (0.0000, 0.5000, 0.5000) and Er at (0.2268, 0.0000, 0.1338).

For the energy above the lowest structure with this stoichiometry, the calculation gives 0 meV/atom. The value obtained for the calculated formation energy is 0.24 eV per formula unit.

***

No. 6
Entry from Alexandria via LeMat-Bulk: a geometry-optimized AcGa2Ge structure (PBE-GGA).

It has space group R-3m (No. 166, hexagonal axes), with a = 4.5909 Å, b = 4.5909 Å, c = 16.2199 Å, α = 90.00°, β = 90.00° and γ = 120.00°. Symmetry generates all atoms from Ac at (0.0000, 0.0000, 0.0000), Ga at (0.0000, 0.0000, 0.2138) and Ge at (0.0000, 0.0000, 0.5000).

For the energy above the lowest structure with this stoichiometry, the calculation gives 0 meV/atom. The value obtained for the calculated formation energy is -1.47 eV per formula unit.

***

No. 7
Entry from Alexandria via LeMat-Bulk: a geometry-optimized MnAl3Ga structure (PBE-GGA).

It has space group Pm-3m (No. 221), with a = 4.9812 Å, b = 4.9812 Å, c = 4.9812 Å, α = 90.00°, β = 90.00° and γ = 90.00°. Symmetry generates all atoms from Mn at (0.0000, 0.0000, 0.0000), Al at (0.0000, 0.5000, 0.5000) and Ga at (0.5000, 0.5000, 0.5000).

For the energy above the lowest structure with this stoichiometry, the calculation gives 971 meV/atom. The value obtained for the calculated formation energy is 4.19 eV per formula unit.

***

No. 8
Entry from Alexandria via LeMat-Bulk: a geometry-optimized Tc2BiRu structure (PBE-GGA).

It has space group I-42d (No. 122), with a = 5.8816 Å, b = 5.8816 Å, c = 11.4047 Å, α = 90.00°, β = 90.00° and γ = 90.00°. Symmetry generates all atoms from Tc at (0.2012, 0.2500, 0.1250), Bi at (0.0000, 0.0000, 0.5000) and Ru at (0.0000, 0.0000, 0.0000).

The value obtained for the calculated formation energy is 4.87 eV per formula unit.

***

No. 9
Entry from Alexandria via LeMat-Bulk: a geometry-optimized TlMoRu structure (PBE-GGA).

It has space group Fmm2 (No. 42), with a = 3.0590 Å, b = 4.9650 Å, c = 14.1721 Å, α = 90.00°, β = 90.00° and γ = 90.00°. Symmetry generates all atoms from Tl at (0.0000, 0.0000, 0.0000), Mo at (0.0000, 0.0000, 0.3183) and Ru at (0.0000, 0.0000, 0.6746).

For the energy above the lowest structure with this stoichiometry, the calculation gives 265 meV/atom. The value obtained for the calculated formation energy is 1.88 eV per formula unit.

***

No. 10
Entry from Alexandria via LeMat-Bulk: a geometry-optimized LaTbRuBr structure (PBE-GGA).

It has space group R3m (No. 160, hexagonal axes), with a = 4.0403 Å, b = 4.0403 Å, c = 23.7155 Å, α = 90.00°, β = 90.00° and γ = 120.00°. Symmetry generates all atoms from La at (0.0000, 0.0000, 0.0000), Tb at (0.0000, 0.0000, 0.2043), Ru at (0.0000, 0.0000, 0.6029) and Br at (0.0000, 0.0000, 0.7759).

The value obtained for the uncorrected formation energy is -0.822 eV/atom.

***

No. 11
Entry from Alexandria via LeMat-Bulk: a geometry-optimized Zn2CrTe structure (PBE-GGA).

It has space group F-43m (No. 216), with a = 6.8154 Å, b = 6.8154 Å, c = 6.8154 Å, α = 90.00°, β = 90.00° and γ = 90.00°. Symmetry generates all atoms from Zn at (0.0000, 0.0000, 0.0000), Zn at (0.2500, 0.2500, 0.2500), Cr at (0.0000, 0.0000, 0.5000) and Te at (0.2500, 0.2500, 0.7500).

The value obtained for the uncorrected formation energy is 0.358 eV/atom.

***

No. 12
Entry from Alexandria via LeMat-Bulk: a geometry-optimized P2PdPb structure (PBE-GGA).

It has space group I-42d (No. 122), with a = 5.7800 Å, b = 5.7800 Å, c = 11.7084 Å, α = 90.00°, β = 90.00° and γ = 90.00°. Symmetry generates all atoms from P at (0.1895, 0.2500, 0.1250), Pd at (0.0000, 0.0000, 0.0000) and Pb at (0.0000, 0.0000, 0.5000).

The value obtained for the calculated formation energy is 0.11 eV per formula unit.

***

No. 13
Entry from Alexandria via LeMat-Bulk: a geometry-optimized CuOs3Ru structure (PBE-GGA).

It has space group Pm-3m (No. 221), with a = 4.6450 Å, b = 4.6450 Å, c = 4.6450 Å, α = 90.00°, β = 90.00° and γ = 90.00°. Symmetry generates all atoms from Cu at (0.0000, 0.0000, 0.0000), Os at (0.0000, 0.5000, 0.5000) and Ru at (0.5000, 0.5000, 0.5000).

The value obtained for the calculated formation energy is 12.39 eV per formula unit.

***

No. 14
Entry from Alexandria via LeMat-Bulk: a geometry-optimized YSiMo2 structure (PBE-GGA).

It has space group C2/m (No. 12), with a = 9.2369 Å, b = 3.2791 Å, c = 5.0956 Å, α = 90.00°, β = 102.41° and γ = 90.00°. Symmetry generates all atoms from Y at (0.0000, 0.0000, 0.0000), Si at (0.0000, 0.5000, 0.5000) and Mo at (0.2319, 0.0000, 0.6731).

The value obtained for the uncorrected formation energy is 0.037 eV/atom.

***

No. 15
Entry from Alexandria via LeMat-Bulk: a geometry-optimized BaMgP2 structure (PBE-GGA).

It has space group C2/m (No. 12), with a = 7.0426 Å, b = 4.8202 Å, c = 6.7864 Å, α = 90.00°, β = 119.68° and γ = 90.00°. Symmetry generates all atoms from Ba at (0.0000, 0.0000, 0.0000), Mg at (0.0000, 0.5000, 0.5000) and P at (0.1763, 0.0000, 0.6453).

The value obtained for the calculated formation energy is -2.59 eV per formula unit.

***

No. 16
Entry from Alexandria via LeMat-Bulk: a geometry-optimized Ba2TlPd3Pb4 structure (PBE-GGA).

It has space group P-4m2 (No. 115), with a = 4.9495 Å, b = 4.9495 Å, c = 11.6476 Å, α = 90.00°, β = 90.00° and γ = 90.00°. Symmetry generates all atoms from Ba at (0.0000, 0.5000, 0.2493), Tl at (0.0000, 0.0000, 0.5000), Pd at (0.0000, 0.5000, 0.8805), Pd at (0.5000, 0.5000, 0.5000), Pb at (0.0000, 0.0000, 0.0000), Pb at (0.0000, 0.5000, 0.6451) and Pb at (0.5000, 0.5000, 0.0000).

The value obtained for the calculated formation energy is -4.23 eV per formula unit.

***

No. 17
Entry from Alexandria via LeMat-Bulk: a geometry-optimized Ca2PmPd structure (PBE-GGA).

It has space group Pnma (No. 62), with a = 7.6279 Å, b = 9.8865 Å, c = 6.5543 Å, α = 90.00°, β = 90.00° and γ = 90.00°. Symmetry generates all atoms from Ca at (0.1777, 0.0646, 0.1625), Pm at (0.0395, 0.2500, 0.6426) and Pd at (0.1195, 0.7500, 0.9563).

For the energy above the lowest structure with this stoichiometry, the calculation gives 0 meV/atom. The value obtained for the calculated formation energy is -1.55 eV per formula unit.

***

No. 18
Entry from Alexandria via LeMat-Bulk: a geometry-optimized RbLiUS3 structure (PBE-GGA).

It has space group P2_1/m (No. 11), with a = 9.0220 Å, b = 4.0904 Å, c = 9.3411 Å, α = 90.00°, β = 108.57° and γ = 90.00°. Symmetry generates all atoms from Rb at (0.2103, 0.2500, 0.2561), Li at (0.0786, 0.2500, 0.5957), U at (0.3242, 0.7500, 0.8464), S at (0.1357, 0.2500, 0.8675), S at (0.1995, 0.7500, 0.5509) and S at (0.4722, 0.7500, 0.1520).

The value obtained for the uncorrected formation energy is -1.410 eV/atom.

***

No. 19
Entry from Alexandria via LeMat-Bulk: a geometry-optimized LiPmNi4 structure (PBE-GGA).

It has space group F-43m (No. 216), with a = 6.9923 Å, b = 6.9923 Å, c = 6.9923 Å, α = 90.00°, β = 90.00° and γ = 90.00°. Symmetry generates all atoms from Li at (0.0000, 0.0000, 0.0000), Pm at (0.2500, 0.2500, 0.2500) and Ni at (0.1258, 0.1258, 0.6258).

The value obtained for the calculated formation energy is -1.71 eV per formula unit.

***

No. 20
Entry from Alexandria via LeMat-Bulk: a geometry-optimized V2GaPd7 structure (PBE-GGA).

It has space group Cmmm (No. 65), with a = 7.2341 Å, b = 12.4288 Å, c = 4.1674 Å, α = 90.00°, β = 90.00° and γ = 90.00°. Symmetry generates all atoms from V at (0.0000, 0.1962, 0.0000), Ga at (0.0000, 0.5000, 0.5000), Pd at (0.0000, 0.0000, 0.0000), Pd at (0.0000, 0.2923, 0.5000) and Pd at (0.1894, 0.3867, 0.0000).

The value obtained for the calculated formation energy is 2.39 eV per formula unit.